# Rb3Pa2TaAs6

An optimized crystal structure of Rb3Pa2TaAs6 (PBE, Alexandria).

* crystal system: monoclinic
* VASP energy: -5.76 eV/atom
* ρ: 6.27 g/cm3
* formation enthalpy at 0 K: -0.62 eV per atom
* space-group type: C2/m, No. 12

a = 7.1522 Å, b = 7.1522 Å, c = 8.4099 Å
α = 98.16°, β = 98.16°, γ = 120.00°
Element x y z (fractional)
1 Rb 0.0000 0.0000 0.0000
2 Rb 0.3311 0.6689 0.0000
3 Rb 0.6689 0.3311 0.0000
4 Pa 0.1665 0.8335 0.5000
5 Pa 0.8335 0.1665 0.5000
6 Ta 0.5000 0.5000 0.5000
7 As 0.1246 0.4396 0.3189
8 As 0.2458 0.2458 0.6817
9 As 0.4396 0.1246 0.3189
10 As 0.5604 0.8754 0.6811
11 As 0.7542 0.7542 0.3183
12 As 0.8754 0.5604 0.6811